No. 1
Material: AgAs2W
Method: DFT, PBE-GGA
State: optimized geometry

Values from the calculation:
Spin magnetization ... 0.00 μB/f.u.
SG ... No. 225
Energy above the lowest structure with this stoichiometry ... 168 kJ/mol of formula units
Energy relative to the elements ... 567 meV per atom

abc: 4.5862 4.5862 4.5862
angles: 60.00 60.00 60.00
Element x y z (fractional)
As: 0.2500 0.2500 0.2500
As: 0.7500 0.7500 0.7500
Ag: 0.0000 0.0000 0.0000
W: 0.5000 0.5000 0.5000


No. 2
Material: AgAs2W
Method: DFT, PBE-GGA
State: optimized geometry

Values from the calculation:
Spin magnetization ... 0.00 μB/f.u.
SG ... No. 10
Energy above the lowest structure with this stoichiometry ... 12 kJ/mol of formula units
Energy relative to the elements ... 163 meV per atom

abc: 3.2523 3.2547 7.3007
angles: 64.36 90.00 90.00
Element x y z (fractional)
As: 0.0000 0.9602 0.0337
As: 0.0000 0.5398 0.4663
Ag: 0.5000 0.7500 0.7500
W: 0.5000 0.2500 0.2500


No. 3
Material: AgAs2W
Method: DFT, PBE-GGA
State: optimized geometry

Values from the calculation:
Spin magnetization ... 0.00 μB/f.u.
SG ... No. 166
Energy above the lowest structure with this stoichiometry ... 0 kJ/mol of formula units
Energy relative to the elements ... 131 meV per atom

abc: 8.4941 8.4941 8.4941
angles: 21.64 21.64 21.64
Element x y z (fractional)
As: 0.9898 0.9898 0.9898
As: 0.5102 0.5102 0.5102
Ag: 0.7500 0.7500 0.7500
W: 0.2500 0.2500 0.2500


No. 4
Material: Ag2AsW
Method: DFT, PBE-GGA
State: optimized geometry

Values from the calculation:
Spin magnetization ... 0.00 μB/f.u.
SG ... No. 8
Energy relative to the elements ... 494 meV per atom

abc: 4.7789 4.7789 5.4932
angles: 81.77 81.77 34.22
Element x y z (fractional)
As: 0.5045 0.5045 0.4487
Ag: 0.9974 0.9974 0.9929
Ag: 0.7495 0.7495 0.7744
W: 0.2486 0.2486 0.2839